5
Lattice="6.046 0.000 0.000 0.000 6.046 0.000 0.000 0.000 6.046" Properties=species:S:1:pos:R:3 comment="CdSbI3 | the Alexandria database | PBE | relaxed" raw_formation_energy_mev_per_atom=-48.2 polymorph_energy_ev_per_atom=0.0000 dft_energy_ev_per_atom=-1.986 pbc="T T T"
I 0.000 3.023 0.000
I 0.000 0.000 3.023
I 3.023 0.000 0.000
Sb 0.000 0.000 0.000
Cd 3.023 3.023 3.023


12
Lattice="-1.171 -4.800 5.062 -2.601 -1.009 -6.501 3.705 -2.120 -1.154" Properties=species:S:1:pos:R:3 comment="AlTc | the Alexandria database | PBE | relaxed" polymorph_energy_ev_per_atom=0.4942 dft_energy_ev_per_atom=-6.973 e_form_ev_per_atom=0.082 pbc="T T T"
Al -0.163 -4.437 3.394
Al -0.177 -5.970 -2.311
Al -2.111 -5.803 -0.355
Al 0.096 -3.492 -5.986
Al 0.111 -1.959 -0.281
Al 2.045 -2.126 -2.237
Tc -0.453 -1.506 -2.922
Tc 1.792 -4.656 1.599
Tc -1.283 -3.628 -1.691
Tc 0.386 -6.423 0.331
Tc -1.858 -3.273 -4.191
Tc 1.216 -4.301 -0.901


46
Lattice="0.000 7.214 7.214 7.214 0.000 7.214 7.214 7.214 0.000" Properties=species:S:1:pos:R:3 comment="GdAl20Cr2 | the Alexandria database | PBE | relaxed" dft_energy_ev_per_atom=-4.860 e_form_ev_per_atom=-0.157 pbc="T T T"
Gd 0.000 0.000 0.000
Gd 3.607 3.607 3.607
Al 6.252 11.526 6.252
Al 6.252 2.902 8.176
Al 8.176 2.902 6.252
Al 8.176 11.526 8.176
Al 11.526 6.252 6.252
Al 2.902 8.176 6.252
Al 2.902 6.252 8.176
Al 11.526 8.176 8.176
Al 6.252 6.252 11.526
Al 8.176 6.252 2.902
Al 6.252 8.176 2.902
Al 8.176 8.176 11.526
Al 4.569 6.508 4.569
Al 4.569 7.919 9.859
Al 9.859 7.919 4.569
Al 9.859 6.508 9.859
Al 6.508 4.569 4.569
Al 7.919 9.859 4.569
Al 7.919 4.569 9.859
Al 6.508 9.859 9.859
Al 4.569 4.569 6.508
Al 9.859 4.569 7.919
Al 4.569 9.859 7.919
Al 9.859 9.859 6.508
Al 5.239 7.214 7.214
Al 9.188 7.214 7.214
Al 7.214 7.214 5.239
Al 7.214 7.214 9.188
Al 7.214 5.239 7.214
Al 7.214 9.188 7.214
Al 12.795 10.820 10.820
Al 8.846 10.820 10.820
Al 10.820 10.820 12.795
Al 10.820 10.820 8.846
Al 10.820 12.795 10.820
Al 10.820 8.846 10.820
Al 5.410 1.803 5.410
Al 5.410 5.410 1.803
Al 1.803 5.410 5.410
Al 1.803 1.803 1.803
Cr 5.410 9.017 5.410
Cr 5.410 5.410 9.017
Cr 9.017 5.410 5.410
Cr 9.017 9.017 9.017


8
Lattice="6.431 0.349 0.000 -0.352 6.431 0.000 -3.040 -3.390 6.435" Properties=species:S:1:pos:R:3 comment="CaPrDy2Bi4 | the Alexandria database | PBE | relaxed" dft_energy_ev_per_atom=-4.748 e_form_ev_per_atom=-0.809 pbc="T T T"
Ca 2.658 2.964 0.000
Pr 5.697 6.354 0.000
Dy -0.558 2.789 3.218
Dy 2.833 -0.252 3.218
Bi 5.873 3.138 0.000
Bi 2.482 6.179 0.000
Bi -0.382 -0.426 3.220
Bi 2.657 2.963 3.215


12
Lattice="-2.445 3.180 5.435 4.078 -3.819 4.070 4.879 4.371 -4.561" Properties=species:S:1:pos:R:3 comment="CeZrSe4 | the Alexandria database | PBE | relaxed" raw_formation_energy_mev_per_atom=-1261.8 polymorph_energy_ev_per_atom=0.1630 dft_energy_ev_per_atom=-5.998 pbc="T T T"
Ce 2.513 -2.155 4.264
Ce -0.881 1.517 5.241
Zr 3.256 1.866 2.472
Zr 2.439 2.185 -2.280
Se 1.556 1.343 0.281
Se 3.809 -0.844 1.841
Se 3.496 -0.860 6.625
Se 1.661 0.784 4.136
Se 3.015 4.592 -1.681
Se 4.850 2.948 0.808
Se 4.955 2.389 4.663
Se 2.702 4.577 3.103


10
Lattice="-2.304 2.977 -1.647 -3.118 -1.053 2.460 3.506 6.773 7.340" Properties=species:S:1:pos:R:3 comment="DyTh2Be3Ir4 | the Alexandria database | PBE | relaxed" dft_energy_ev_per_atom=-7.288 e_form_ev_per_atom=-0.682 pbc="T T T"
Dy -0.958 4.349 4.077
Th -0.393 2.955 0.767
Th 1.187 4.780 6.981
Be 1.753 3.387 3.670
Be 2.003 7.585 5.784
Be -1.209 0.151 1.964
Ir -2.711 0.962 0.407
Ir 0.000 0.000 0.000
Ir 1.204 6.042 4.111
Ir -0.410 1.694 3.636


9
Lattice="3.695 0.000 0.000 0.000 7.591 -4.383 0.000 0.000 8.766" Properties=species:S:1:pos:R:3 comment="Na3Tl5Zn | the Alexandria database | PBE | relaxed" dft_energy_ev_per_atom=-1.957 e_form_ev_per_atom=-0.061 pbc="T T T"
Na 0.000 2.859 1.650
Na 0.000 0.000 5.465
Na 0.000 4.733 -2.732
Tl 1.847 2.530 4.383
Tl 1.847 5.061 0.000
Tl 1.847 2.003 -1.157
Tl 1.847 0.000 2.313
Tl 1.847 5.588 3.226
Zn 0.000 0.000 0.000


6
Lattice="0.000 4.459 4.459 4.459 0.000 4.459 4.459 4.459 0.000" Properties=species:S:1:pos:R:3 comment="CdFeBr4 | the Alexandria database | PBE | relaxed" raw_formation_energy_mev_per_atom=884.7 polymorph_energy_ev_per_atom=1.3435 dft_energy_ev_per_atom=-1.794 pbc="T T T"
Cd 6.689 6.689 6.689
Fe 0.000 0.000 0.000
Br 3.341 5.577 5.577
Br 5.577 5.577 3.341
Br 5.577 3.341 5.577
Br 3.341 3.341 3.341